Here is a relaxed Y3ErPt crystal from Alexandria via LeMat-Bulk. Energies are from PBE.

The total energy is -64.74 eV for the cell shown. The calculation puts the size of the total moment at 0.000 μB per formula unit. The value obtained for the formation energy is -45.77 kJ/mol of atoms.

The space group is P2_1/m (No. 11) and the conventional cell measures 6.391, 5.134 and 8.771 Å, with angles of 90.00, 96.86 and 90.00 degrees. The inequivalent atoms are Y at (0.180, 0.250, 0.021), Y at (0.215, 0.250, 0.443), Y at (0.275, 0.750, 0.759), Er at (0.387, 0.750, 0.216) and Pt at (0.030, 0.250, 0.712).